Material: Cs2VI4
Method: DFT, PBE
State: optimized geometry

Cell lengths 8.445, 11.131, 15.118 Å; angles 90.00, 90.00, 90.00 degrees
Atoms (fractional coordinates):
1 Cs 0.750 0.513 0.327
2 Cs 0.250 0.487 0.673
3 Cs 0.250 0.987 0.827
4 Cs 0.750 0.013 0.173
5 Cs 0.750 0.890 0.580
6 Cs 0.250 0.110 0.420
7 Cs 0.250 0.610 0.080
8 Cs 0.750 0.390 0.920
9 V 0.750 0.789 0.931
10 V 0.250 0.211 0.069
11 V 0.250 0.711 0.431
12 V 0.750 0.289 0.569
13 I 0.496 0.685 0.854
14 I 0.504 0.315 0.146
15 I 0.504 0.815 0.354
16 I 0.996 0.315 0.146
17 I 0.496 0.185 0.646
18 I 0.004 0.685 0.854
19 I 0.004 0.185 0.646
20 I 0.996 0.815 0.354
21 I 0.750 0.029 0.901
22 I 0.250 0.971 0.099
23 I 0.250 0.471 0.401
24 I 0.750 0.529 0.599
25 I 0.750 0.175 0.409
26 I 0.250 0.825 0.591
27 I 0.250 0.325 0.909
28 I 0.750 0.675 0.091

The calculation puts the energy above the most stable polymorph in this dataset at 0.34 eV per formula unit. For the total energy, the calculation gives -0.1255 hartree per atom. Its raw formation energy is -0.98 eV per atom.

Material: LaTbCe2Tl4
Method: DFT, PBE
State: optimized geometry

Cell lengths 5.513, 5.513, 9.582 Å; angles 73.28, 73.28, 60.00 degrees
Atoms (fractional coordinates):
1 La 0.000 0.000 0.000
2 Tb 0.500 0.500 0.500
3 Ce 0.751 0.751 0.748
4 Ce 0.249 0.249 0.252
5 Tl 0.377 0.377 0.868
6 Tl 0.873 0.873 0.380
7 Tl 0.127 0.127 0.620
8 Tl 0.623 0.623 0.132

For the total energy, the calculation gives -0.1525 hartree per atom. The value obtained for the formation enthalpy at 0 K is -0.2877 eV per atom.

Material: MgAsSe2S
Method: DFT, PBE
State: optimized geometry

Cell lengths 4.892, 4.892, 5.151 Å; angles 90.00, 90.00, 90.00 degrees
Atoms (fractional coordinates):
1 Mg 0.000 0.000 0.000
2 As 0.000 0.000 0.500
3 S 0.500 0.500 0.500
4 Se 0.000 0.500 0.000
5 Se 0.500 0.000 0.000

The calculation puts the energy above the most stable polymorph in this dataset at 1.88 eV per formula unit. For the total energy, the calculation gives -0.1017 hartree per atom. Its raw formation energy is 0.70 eV per atom.

Material: HfTaPd2
Method: DFT, PBE
State: optimized geometry

Cell lengths 4.634, 4.634, 4.634 Å; angles 60.00, 60.00, 60.00 degrees
Atoms (fractional coordinates):
1 Hf 0.000 0.000 0.000
2 Pd 0.250 0.250 0.250
3 Pd 0.750 0.750 0.750
4 Ta 0.500 0.500 0.500

The calculation puts the energy above the most stable polymorph in this dataset at 0.00 eV per formula unit. For the total energy, the calculation gives -0.3069 hartree per atom. The value obtained for the formation enthalpy at 0 K is -0.3029 eV per atom.

Material: LaPmMoN3
Method: DFT, PBE
State: optimized geometry

Cell lengths 3.517, 9.193, 6.724 Å; angles 99.07, 90.00, 90.00 degrees
Atoms (fractional coordinates):
1 La 0.750 0.753 0.763
2 La 0.250 0.247 0.237
3 Pm 0.250 0.625 0.187
4 Pm 0.750 0.375 0.813
5 Mo 0.250 0.080 0.627
6 Mo 0.750 0.920 0.373
7 N 0.250 0.848 0.510
8 N 0.750 0.798 0.124
9 N 0.750 0.427 0.179
10 N 0.750 0.152 0.490
11 N 0.250 0.573 0.821
12 N 0.250 0.202 0.876

For the total energy, the calculation gives -0.3143 hartree per atom. Its raw formation energy is -0.97 eV per atom.

Material: Ho3ScPt2
Method: DFT, PBE
State: optimized geometry

Cell lengths 4.707, 6.961, 8.724 Å; angles 90.00, 90.00, 90.00 degrees
Atoms (fractional coordinates):
1 Ho 0.000 0.493 0.919
2 Ho 0.000 0.993 0.081
3 Ho 0.500 0.645 0.175
4 Ho 0.500 0.145 0.825
5 Ho 0.000 0.351 0.340
6 Ho 0.000 0.851 0.660
7 Sc 0.500 0.507 0.587
8 Sc 0.500 0.007 0.413
9 Pt 0.500 0.736 0.841
10 Pt 0.500 0.236 0.159
11 Pt 0.000 0.267 0.657
12 Pt 0.000 0.767 0.343

The calculation puts the energy above the most stable polymorph in this dataset at 0.00 eV per formula unit. For the total energy, the calculation gives -0.2316 hartree per atom. The value obtained for the formation enthalpy at 0 K is -0.9441 eV per atom.

Material: Y2Ru
Method: DFT, PBE
State: optimized geometry

Cell lengths 4.888, 4.888, 3.174 Å; angles 90.00, 90.00, 120.00 degrees
Atoms (fractional coordinates):
1 Y 0.667 0.333 0.000
2 Y 0.333 0.667 0.000
3 Ru 0.000 0.000 0.500

For the total energy, the calculation gives -0.2611 hartree per atom. The value obtained for the formation enthalpy at 0 K is 0.2965 eV per atom.

Material: BaBi5
Method: DFT, PBE
State: optimized geometry

Cell lengths 4.501, 5.634, 8.657 Å; angles 108.99, 90.00, 90.00 degrees
Atoms (fractional coordinates):
1 Bi 0.500 0.804 0.607
2 Bi 0.000 0.653 0.306
3 Bi 0.500 0.500 0.000
4 Bi 0.000 0.347 0.694
5 Bi 0.500 0.196 0.393
6 Ba 0.000 0.000 0.000

The calculation puts the energy above the most stable polymorph in this dataset at 0.23 eV per formula unit. For the total energy, the calculation gives -0.1399 hartree per atom. The value obtained for the formation enthalpy at 0 K is -0.2512 eV per atom.

Material: YNiPd2
Method: DFT, PBE
State: optimized geometry

Cell lengths 4.000, 4.000, 9.614 Å; angles 77.99, 77.99, 90.00 degrees
Atoms (fractional coordinates):
1 Y 0.000 0.000 0.000
2 Y 0.750 0.250 0.500
3 Ni 0.500 0.500 0.000
4 Ni 0.250 0.750 0.500
5 Pd 0.597 0.125 0.250
6 Pd 0.153 0.625 0.250
7 Pd 0.375 0.403 0.750
8 Pd 0.875 0.847 0.750

The calculation puts the energy above the most stable polymorph in this dataset at 1.30 eV per formula unit. For the total energy, the calculation gives -0.2183 hartree per atom. The value obtained for the formation enthalpy at 0 K is -0.2815 eV per atom.

Material: Mg2Al2Ir3
Method: DFT, PBE
State: optimized geometry

Cell lengths 4.313, 4.317, 7.482 Å; angles 90.03, 106.79, 119.98 degrees
Atoms (fractional coordinates):
1 Mg 0.261 0.131 0.390
2 Mg 0.739 0.869 0.610
3 Al 0.765 0.383 0.146
4 Al 0.235 0.617 0.854
5 Ir 0.000 0.000 0.000
6 Ir 0.519 0.259 0.780
7 Ir 0.481 0.741 0.220

For the total energy, the calculation gives -0.2166 hartree per atom. The value obtained for the formation enthalpy at 0 K is -0.5723 eV per atom.

Material: NbIn3Sb
Method: DFT, PBE
State: optimized geometry

Cell lengths 5.433, 5.433, 5.433 Å; angles 90.00, 90.00, 90.00 degrees
Atoms (fractional coordinates):
1 Sb 0.500 0.500 0.500
2 Nb 0.000 0.000 0.000
3 In 0.000 0.500 0.000
4 In 0.000 0.000 0.500
5 In 0.500 0.000 0.000

The calculation puts the energy above the most stable polymorph in this dataset at 0.00 eV per formula unit. For the total energy, the calculation gives -0.1374 hartree per atom. Its raw formation energy is 0.74 eV per atom.

Material: Y5Co
Method: DFT, PBE
State: optimized geometry

Cell lengths 6.212, 6.212, 5.891 Å; angles 90.00, 90.00, 120.00 degrees
Atoms (fractional coordinates):
1 Y 0.000 0.500 0.500
2 Y 0.333 0.667 0.000
3 Y 0.500 0.000 0.500
4 Y 0.500 0.500 0.500
5 Y 0.667 0.333 0.000
6 Co 0.000 0.000 0.000

The calculation puts the energy above the most stable polymorph in this dataset at 5.61 eV per formula unit. For the total energy, the calculation gives -0.2079 hartree per atom. The value obtained for the formation enthalpy at 0 K is 0.9138 eV per atom.